AcCo2SO8: optimized geometry, GGA+U.

Calculated values
Final energy   -5.917 eV per atom

a = 4.908 Å, b = 4.908 Å, c = 6.551 Å
α = 90.00°, β = 90.00°, γ = 120.00°
Element x y z (fractional)
Ac1 0.000 0.000 0.000
Co1 0.333 0.667 0.386
Co2 0.667 0.333 0.614
S1 0.000 0.000 0.500
O1 0.160 0.319 0.643
O2 0.160 0.840 0.643
O3 0.319 0.160 0.357
O4 0.333 0.667 0.113
O5 0.667 0.333 0.887
O6 0.681 0.840 0.643
O7 0.840 0.160 0.357
O8 0.840 0.681 0.357